#P
GGA-PBE ZrScTa2, optimized geometry; crystal system = orthorhombic; SG = Pmm2, No. 25; Fermi-level density of states = 5.7 states/eV/f.u.; magnetic moment = 0.00 μB per formula unit; volume = 81.8 Å³/f.u.; mass density = 10.1 g/cm3
1.0
2.890 0.000 0.000
0.000 4.711 0.000
0.000 0.000 6.009
Zr Sc Ta
1 1 2
Direct
0.000 0.000 0.000 Zr
0.500 0.500 0.264 Sc
0.000 0.000 0.519 Ta
0.500 0.500 0.745 Ta

#Q
GGA-PBE ZrScTa2, optimized geometry; crystal system = monoclinic; SG = P2/m, No. 10; Fermi-level density of states = 5.7 states/eV/f.u.; magnetic moment = 0.00 μB per formula unit; volume = 80.7 Å³/f.u.; mass density = 10.3 g/cm3
1.0
2.930 0.000 0.000
0.000 4.963 0.000
-0.939 0.000 5.548
Zr Sc Ta
1 1 2
Direct
0.000 0.000 0.000 Zr
0.500 0.000 0.500 Sc
0.220 0.500 0.761 Ta
0.780 0.500 0.239 Ta

#R
GGA-PBE ZrScTa2, optimized geometry; crystal system = tetragonal; SG = I-42d, No. 122; Fermi-level density of states = 6.2 states/eV/f.u.; magnetic moment = 0.00 μB per formula unit; volume = 84.6 Å³/f.u.; mass density = 9.8 g/cm3
1.0
-3.839 3.839 2.870
3.839 -3.839 2.870
3.839 3.839 -2.870
Zr Sc Ta
2 2 4
Direct
0.000 0.000 0.000 Zr
0.750 0.250 0.500 Zr
0.250 0.750 0.500 Sc
0.500 0.500 0.000 Sc
0.127 0.625 0.002 Ta
0.375 0.377 0.502 Ta
0.623 0.125 0.998 Ta
0.875 0.873 0.498 Ta

Last place for stability: #R

#P
GGA-PBE ZrScTa, optimized geometry; crystal system = hexagonal; SG = P-6m2, No. 187; Fermi-level density of states = 1.8 states/eV/f.u.; magnetic moment = 0.00 μB per formula unit; volume = 63.5 Å³/f.u.; mass density = 8.3 g/cm3
1.0
4.918 0.000 0.000
-2.459 4.259 0.000
0.000 0.000 3.032
Zr Sc Ta
1 1 1
Direct
0.000 0.000 0.000 Zr
0.667 0.333 0.500 Sc
0.333 0.667 0.000 Ta

#Q
GGA-PBE ZrScTa, optimized geometry; crystal system = tetragonal; SG = I4mm, No. 107; Fermi-level density of states = 3.1 states/eV/f.u.; magnetic moment = 0.00 μB per formula unit; volume = 65.3 Å³/f.u.; mass density = 8.1 g/cm3
1.0
-1.502 1.502 7.237
1.502 -1.502 7.237
1.502 1.502 -7.237
Zr Sc Ta
1 1 1
Direct
0.000 0.000 0.000 Zr
0.307 0.307 0.000 Sc
0.655 0.655 0.000 Ta

Last place for stability: #Q

#P
GGA-PBE ZrScTa, optimized geometry; crystal system = hexagonal; SG = P6/mmm, No. 191; Fermi-level density of states = 1.9 states/eV/f.u.; magnetic moment = 0.00 μB per formula unit; volume = 63.4 Å³/f.u.; mass density = 8.3 g/cm3
1.0
4.899 0.000 0.000
-2.450 4.243 0.000
0.000 0.000 6.104
Zr Sc Ta
2 2 2
Direct
0.333 0.667 0.000 Zr
0.667 0.333 0.000 Zr
0.000 0.000 0.255 Sc
0.000 0.000 0.745 Sc
0.333 0.667 0.500 Ta
0.667 0.333 0.500 Ta

#Q
GGA-PBE ZrScTa, optimized geometry; crystal system = orthorhombic; SG = Ima2, No. 46; Fermi-level density of states = 2.9 states/eV/f.u.; magnetic moment = 0.00 μB per formula unit; volume = 65.1 Å³/f.u.; mass density = 8.1 g/cm3
1.0
-2.924 2.784 3.997
2.924 -2.784 3.997
2.924 2.784 -3.997
Zr Sc Ta
2 2 2
Direct
0.096 0.250 0.346 Zr
0.904 0.750 0.654 Zr
0.550 0.897 0.154 Sc
0.743 0.397 0.846 Sc
0.319 0.319 0.000 Ta
0.319 0.819 0.500 Ta

Last place for stability: #Q

#P
GGA-PBE ZrScTa, optimized geometry; crystal system = orthorhombic; SG = Fmm2, No. 42; Fermi-level density of states = 4.3 states/eV/f.u.; magnetic moment = 0.00 μB per formula unit; volume = 64.9 Å³/f.u.; mass density = 8.1 g/cm3
1.0
0.000 2.258 7.309
1.967 0.000 7.309
1.967 2.258 0.000
Zr Sc Ta
1 1 1
Direct
0.000 0.000 0.000 Zr
0.307 0.307 0.693 Sc
0.654 0.654 0.346 Ta

#Q
GGA-PBE ZrScTa, optimized geometry; crystal system = cubic; SG = F-43m, No. 216; Fermi-level density of states = 5.5 states/eV/f.u.; magnetic moment = 0.00 μB per formula unit; volume = 73.4 Å³/f.u.; mass density = 7.2 g/cm3
1.0
0.000 3.324 3.324
3.324 0.000 3.324
3.324 3.324 0.000
Zr Sc Ta
1 1 1
Direct
0.000 0.000 0.000 Zr
0.500 0.500 0.500 Sc
0.750 0.750 0.750 Ta

Last place for stability: #Q

#P
GGA-PBE ZrScTa, optimized geometry; crystal system = tetragonal; SG = I4/mmm, No. 139; Fermi-level density of states = 5.6 states/eV/f.u.; magnetic moment = 0.00 μB per formula unit; volume = 70.1 Å³/f.u.; mass density = 7.5 g/cm3
1.0
-1.633 1.633 13.139
1.633 -1.633 13.139
1.633 1.633 -13.139
Zr Sc Ta
2 2 2
Direct
0.146 0.146 0.000 Zr
0.854 0.854 0.000 Zr
0.437 0.437 0.000 Sc
0.563 0.563 0.000 Sc
0.279 0.279 0.000 Ta
0.721 0.721 0.000 Ta

#Q
GGA-PBE ZrScTa, optimized geometry; crystal system = monoclinic; SG = C2/m, No. 12; Fermi-level density of states = 2.4 states/eV/f.u.; magnetic moment = 0.00 μB per formula unit; volume = 64.8 Å³/f.u.; mass density = 8.1 g/cm3
1.0
4.781 -2.926 0.000
4.781 2.926 0.000
-3.051 0.000 4.633
Zr Sc Ta
2 2 2
Direct
0.176 0.176 0.271 Zr
0.824 0.824 0.729 Zr
0.322 0.322 0.916 Sc
0.678 0.678 0.084 Sc
0.253 0.747 0.500 Ta
0.747 0.253 0.500 Ta

#R
GGA-PBE ZrScTa, optimized geometry; crystal system = orthorhombic; SG = Amm2, No. 38; Fermi-level density of states = 1.6 states/eV/f.u.; magnetic moment = 0.00 μB per formula unit; volume = 64.7 Å³/f.u.; mass density = 8.1 g/cm3
1.0
4.963 0.000 0.000
0.000 4.762 2.739
0.000 -4.762 2.739
Zr Sc Ta
2 2 2
Direct
0.000 0.157 0.843 Zr
0.000 0.843 0.157 Zr
0.500 0.182 0.502 Sc
0.500 0.502 0.182 Sc
0.000 0.534 0.534 Ta
0.500 0.820 0.820 Ta

#S
GGA-PBE ZrScTa, optimized geometry; crystal system = orthorhombic; SG = Imm2, No. 44; Fermi-level density of states = 4.3 states/eV/f.u.; magnetic moment = 0.00 μB per formula unit; volume = 63.9 Å³/f.u.; mass density = 8.2 g/cm3
1.0
-1.505 2.284 4.647
1.505 -2.284 4.647
1.505 2.284 -4.647
Zr Sc Ta
1 1 1
Direct
0.000 0.000 0.000 Zr
0.676 0.676 0.000 Sc
0.340 0.340 0.000 Ta

Last place for stability: #P

#P
GGA-PBE Tb7Sc2, optimized geometry; crystal system = hexagonal; SG = P-62m, No. 189; Fermi-level density of states = 15.6 states/eV/f.u.; magnetic moment = 0.00 μB per formula unit; volume = 272.8 Å³/f.u.; mass density = 7.3 g/cm3
1.0
9.547 0.000 0.000
-4.774 8.268 0.000
0.000 0.000 3.456
Tb Sc
7 2
Direct
0.000 0.000 0.000 Tb
0.000 0.308 0.500 Tb
0.000 0.632 0.000 Tb
0.308 0.000 0.500 Tb
0.368 0.368 0.000 Tb
0.632 0.000 0.000 Tb
0.692 0.692 0.500 Tb
0.333 0.667 0.500 Sc
0.667 0.333 0.500 Sc

#Q
GGA-PBE Tb7Sc2, optimized geometry; crystal system = trigonal; SG = P-31m, No. 162; Fermi-level density of states = 12.9 states/eV/f.u.; magnetic moment = 0.00 μB per formula unit; volume = 271.5 Å³/f.u.; mass density = 7.4 g/cm3
1.0
6.059 0.000 0.000
-3.030 5.248 0.000
0.000 0.000 8.539
Tb Sc
7 2
Direct
0.000 0.000 0.000 Tb
0.000 0.336 0.673 Tb
0.000 0.664 0.327 Tb
0.336 0.000 0.673 Tb
0.336 0.336 0.327 Tb
0.664 0.000 0.327 Tb
0.664 0.664 0.673 Tb
0.333 0.667 0.000 Sc
0.667 0.333 0.000 Sc

Last place for stability: #P